Li2Ni3O4: optimized geometry, PBE+U.

The magnetization is 6.0 μB/f.u. The calculation puts the total energy at -4.7717 eV per atom.

```
9
Lattice="-2.287 1.887 0.236 -0.493 1.114 5.066 2.735 5.644 0.106" Properties=species:S:1:pos:R:3 pbc="T T T"
Li 0.208 4.854 0.684
Li -0.253 3.791 4.723
Ni -0.103 1.946 2.191
Ni 0.000 0.000 0.000
Ni 0.058 6.699 3.216
O 1.333 6.095 1.658
O -1.378 2.550 3.749
O 0.939 5.281 4.361
O -0.984 3.364 1.046
```